No. 1
Density functional theory data (PBE-GGA) for a relaxed Na3NdPa2Te6 crystal.

abc: 7.621 7.621 8.156
angles: 98.96 98.96 120.01
Last column: magnetic moment on the atom in μB.
Fractional coordinates of all 12 atoms:
Na 0.163 0.837 0.500  0.00
Na 0.837 0.163 0.500  0.00
Na 0.500 0.500 0.500  0.00
Nd 0.000 0.000 0.000  0.18
Pa 0.333 0.667 0.000  1.43
Pa 0.667 0.333 0.000  1.43
Te 0.920 0.580 0.760  -0.03
Te 0.740 0.740 0.240  -0.03
Te 0.080 0.420 0.240  -0.03
Te 0.580 0.920 0.760  -0.03
Te 0.260 0.260 0.760  -0.03
Te 0.420 0.080 0.240  -0.03

* total magnetization: 3.80 μB per formula unit
* electronic total energy: -58.570 eV per cell
* space group: No. 12

No. 2
Density functional theory data (PBE-GGA) for a relaxed CsKCd2I crystal.

abc: 7.260 6.318 7.260
angles: 90.00 90.00 90.00
Fractional coordinates of all 5 atoms:
Cs 0.500 0.500 0.500
I 0.000 0.000 0.000
K 0.000 0.500 0.000
Cd 0.000 0.000 0.500
Cd 0.500 0.000 0.000

* total magnetization: 0.00 μB per formula unit
* electronic total energy: -6.332 eV per cell
* space group: No. 123

No. 3
Density functional theory data (PBE-GGA) for a relaxed CeEu3 crystal.

abc: 7.650 7.650 6.195
angles: 90.00 90.00 120.00
Last column: magnetic moment on the atom in μB.
Fractional coordinates of all 8 atoms:
Ce 0.333 0.667 0.750  1.20
Ce 0.667 0.333 0.250  1.20
Eu 0.169 0.338 0.250  6.97
Eu 0.662 0.831 0.250  6.97
Eu 0.169 0.831 0.250  6.97
Eu 0.831 0.662 0.750  6.97
Eu 0.338 0.169 0.750  6.97
Eu 0.831 0.169 0.750  6.97

* ΔE_f: 0.7 eV/f.u.
* ΔE to the lowest computed polymorph: 5.4 meV/atom
* total magnetization: 24.01 μB per formula unit
* electronic total energy: -72.094 eV per cell
* space group: No. 194

No. 4
Density functional theory data (PBE-GGA) for a relaxed LiHoSb2 crystal.

abc: 4.265 4.265 10.679
angles: 90.00 90.00 90.00
Fractional coordinates of all 8 atoms:
Li 0.500 0.500 0.000
Li 0.000 0.000 0.000
Ho 0.000 0.500 0.269
Ho 0.500 0.000 0.731
Sb 0.500 0.000 0.170
Sb 0.000 0.500 0.830
Sb 0.000 0.000 0.500
Sb 0.500 0.500 0.500

* ΔE to the lowest computed polymorph: 0.0 meV/atom
* total magnetization: 0.00 μB per formula unit
* electronic total energy: -35.635 eV per cell
* space group: No. 129